MgS2 (PBE-GGA, optimized geometry); formation energy without anion corrections = -0.832 eV per atom; E_tot = -0.3024 Ry per atom; symmetry = Cmc2_1 (36)
1.0
1.990 -3.441 0.000
1.990 3.441 0.000
0.000 0.000 9.162
S Mg
4 2
Cartesian
1.990 -2.321 7.857
1.990 -2.273 0.797
1.990 2.321 3.276
1.990 2.273 5.378
1.990 -0.032 6.617
1.990 0.032 2.036

***

Ca2ZrCl (PBE-GGA, optimized geometry); density of states at the Fermi level = 0.912 states/eV/atom; formation energy without anion corrections = -0.309 eV per atom; E_tot = -0.2872 Ry per atom; energy above the most stable polymorph in this dataset = 0.319 eV/atom; symmetry = Cm (8)
1.0
6.614 0.004 0.011
5.774 3.226 0.011
2.604 0.679 5.248
Ca Cl Zr
2 1 1
Cartesian
11.676 3.044 3.723
12.251 3.194 0.110
7.618 1.986 2.556
3.329 0.868 1.537